No. 1
First-principles (PBE) data for crystalline Tb3Dy2Ga4 at its relaxed geometry, as listed in Alexandria.

Summary:
Formation energy from the elements, kJ/mol of atoms: -45
Density of states at the Fermi level, states/eV per cell: 14.38
Crystal system: monoclinic

abc: 10.532 4.465 9.665
angles: 90.00 92.20 90.00
Space group C2/m (No. 12)
Asymmetric unit:
Tb (0.000, 0.000, 0.000) x2
Tb (0.126, 0.500, 0.607) x4
Dy (0.171, 0.500, 0.228) x4
Ga (0.076, 0.000, 0.394) x4
Ga (0.194, 0.500, 0.922) x4

No. 2
First-principles (PBE) data for crystalline NdMgGaSn at its relaxed geometry, as listed in Alexandria.

Summary:
Formation energy from the elements, kJ/mol of atoms: -32
Relative energy among the computed polymorphs, eV per atom: 0.167
Density of states at the Fermi level, states/eV per cell: 13.52
Crystal system: cubic

abc: 7.354 7.354 7.354
angles: 90.00 90.00 90.00
Space group F-43m (No. 216)
Asymmetric unit:
Nd (0.000, 0.000, 0.000) x4
Mg (0.000, 0.000, 0.500) x4
Ga (0.250, 0.250, 0.250) x4
Sn (0.250, 0.250, 0.750) x4

No. 3
First-principles (PBE) data for crystalline Sm6C2Se3N at its relaxed geometry, as listed in Alexandria.

Summary:
Calculated total energy, Ry per atom: -0.4952
Density of states at the Fermi level, states/eV per cell: 4.88
Crystal system: monoclinic

abc: 17.431 3.842 8.051
angles: 90.00 107.13 90.00
Space group C2/m (No. 12)
Asymmetric unit:
Sm (0.011, 0.000, 0.224) x4
Sm (0.157, 0.500, 0.108) x4
Sm (0.176, 0.500, 0.558) x4
C (0.164, 0.000, 0.328) x4
Se (0.000, 0.500, 0.500) x2
Se (0.166, 0.000, 0.833) x4
N (0.000, 0.500, 0.000) x2

No. 4
First-principles (PBE) data for crystalline La2SmHo9 at its relaxed geometry, as listed in Alexandria.

Summary:
Formation energy from the elements, kJ/mol of atoms: 3
Relative energy among the computed polymorphs, eV per atom: 0.000
Density of states at the Fermi level, states/eV per cell: 18.24
Crystal system: tetragonal

abc: 5.051 5.051 15.169
angles: 90.00 90.00 90.00
Space group P4/mmm (No. 123)
Asymmetric unit:
La (0.000, 0.000, 0.166) x2
Sm (0.000, 0.000, 0.500) x1
Ho (0.000, 0.500, 0.000) x2
Ho (0.000, 0.500, 0.336) x4
Ho (0.500, 0.500, 0.168) x2
Ho (0.500, 0.500, 0.500) x1

No. 5
First-principles (PBE) data for crystalline Sr2MoAu at its relaxed geometry, as listed in Alexandria.

Summary:
Formation energy from the elements, kJ/mol of atoms: 65
Relative energy among the computed polymorphs, eV per atom: 0.416
Density of states at the Fermi level, states/eV per cell: 12.31
Crystal system: tetragonal

abc: 8.606 8.606 6.520
angles: 90.00 90.00 90.00
Space group I-42d (No. 122)
Asymmetric unit:
Sr (0.226, 0.750, 0.125) x8
Mo (0.000, 0.000, 0.500) x4
Au (0.000, 0.000, 0.000) x4

No. 6
First-principles (PBE) data for crystalline LaGaPt3 at its relaxed geometry, as listed in Alexandria.

Summary:
Formation energy from the elements, kJ/mol of atoms: 79
Relative energy among the computed polymorphs, eV per atom: 1.675
Density of states at the Fermi level, states/eV per cell: 8.29
Crystal system: cubic

abc: 5.300 5.300 5.300
angles: 90.00 90.00 90.00
Space group Pm-3m (No. 221)
Asymmetric unit:
La (0.000, 0.000, 0.000) x1
Ga (0.500, 0.500, 0.500) x1
Pt (0.000, 0.000, 0.500) x3

No. 7
First-principles (PBE) data for crystalline ReTeBr2 at its relaxed geometry, as listed in Alexandria.

Summary:
Relative energy among the computed polymorphs, eV per atom: 0.249
Density of states at the Fermi level, states/eV per cell: 7.22
Crystal system: orthorhombic

abc: 3.191 4.883 14.312
angles: 90.00 90.00 90.00
Space group Immm (No. 71)
Asymmetric unit:
Re (0.000, 0.000, 0.000) x2
Te (0.000, 0.000, 0.500) x2
Br (0.000, 0.500, 0.353) x4

No. 8
First-principles (PBE) data for crystalline CeSnHgPb at its relaxed geometry, as listed in Alexandria.

Summary:
Formation energy from the elements, kJ/mol of atoms: -24
Relative energy among the computed polymorphs, eV per atom: 0.169
Density of states at the Fermi level, states/eV per cell: 31.06
Crystal system: cubic

abc: 7.709 7.709 7.709
angles: 90.00 90.00 90.00
Space group F-43m (No. 216)
Asymmetric unit:
Ce (0.000, 0.000, 0.000) x4
Sn (0.250, 0.250, 0.250) x4
Hg (0.250, 0.250, 0.750) x4
Pb (0.000, 0.000, 0.500) x4

No. 9
First-principles (PBE) data for crystalline PdPt at its relaxed geometry, as listed in Alexandria.

Summary:
Formation energy from the elements, kJ/mol of atoms: 113
Density of states at the Fermi level, states/eV per cell: 33.51
Crystal system: cubic

abc: 7.904 7.904 7.904
angles: 90.00 90.00 90.00
Space group I-43m (No. 217)
Asymmetric unit:
Pd (0.163, 0.163, 0.163) x8
Pt (0.157, 0.157, 0.843) x8

No. 10
First-principles (PBE) data for crystalline Pm2SbTe at its relaxed geometry, as listed in Alexandria.

Summary:
Relative energy among the computed polymorphs, eV per atom: 0.254
Density of states at the Fermi level, states/eV per cell: 15.25
Crystal system: cubic

abc: 7.748 7.748 7.748
angles: 90.00 90.00 90.00
Space group Fm-3m (No. 225)
Asymmetric unit:
Pm (0.250, 0.250, 0.250) x8
Sb (0.000, 0.000, 0.000) x4
Te (0.000, 0.000, 0.500) x4

No. 11
First-principles (PBE) data for crystalline Sc4TlGaN at its relaxed geometry, as listed in Alexandria.

Summary:
Calculated total energy, Ry per atom: -0.4691
Density of states at the Fermi level, states/eV per cell: 21.77
Crystal system: orthorhombic

abc: 6.167 14.654 6.175
angles: 90.00 90.00 90.00
Space group Cmcm (No. 63)
Asymmetric unit:
Sc (0.000, 0.085, 0.250) x4
Sc (0.000, 0.408, 0.250) x4
Sc (0.250, 0.250, 0.000) x8
Tl (0.000, 0.393, 0.750) x4
Ga (0.000, 0.115, 0.750) x4
N (0.000, 0.249, 0.250) x4

No. 12
First-principles (PBE) data for crystalline CaLu2Ta at its relaxed geometry, as listed in Alexandria.

Summary:
Formation energy from the elements, kJ/mol of atoms: 67
Density of states at the Fermi level, states/eV per cell: 18.66
Crystal system: trigonal

abc: 3.2477 3.2477 35.8118
angles: 90.00 90.00 120.00
Space group R-3m (No. 166, hexagonal axes)
Asymmetric unit:
Ca (0.0000, 0.0000, 0.0000) x3
Lu (0.0000, 0.0000, 0.4193) x6
Ta (0.0000, 0.0000, 0.5000) x3

No. 13
First-principles (PBE) data for crystalline SeI at its relaxed geometry, as listed in Alexandria.

Summary:
Calculated total energy, Ry per atom: -0.1627
Density of states at the Fermi level, states/eV per cell: 0.95
Crystal system: monoclinic

abc: 3.891 4.849 4.856
angles: 90.00 113.41 90.00
Space group Pm (No. 6)
Asymmetric unit:
Se (0.000, 0.000, 0.000) x1
I (0.880, 0.500, 0.759) x1

No. 14
First-principles (PBE) data for crystalline TaTl3Ru at its relaxed geometry, as listed in Alexandria.

Summary:
Formation energy from the elements, kJ/mol of atoms: 134
Relative energy among the computed polymorphs, eV per atom: 0.000
Density of states at the Fermi level, states/eV per cell: 6.07
Crystal system: cubic

abc: 5.165 5.165 5.165
angles: 90.00 90.00 90.00
Space group Pm-3m (No. 221)
Asymmetric unit:
Ta (0.000, 0.000, 0.000) x1
Tl (0.000, 0.500, 0.500) x3
Ru (0.500, 0.500, 0.500) x1

No. 15
First-principles (PBE) data for crystalline Ba2ZrMo at its relaxed geometry, as listed in Alexandria.

Summary:
Formation energy from the elements, kJ/mol of atoms: 69
Relative energy among the computed polymorphs, eV per atom: 0.210
Density of states at the Fermi level, states/eV per cell: 10.13
Crystal system: orthorhombic

abc: 3.609 6.238 11.982
angles: 90.00 90.00 90.00
Space group Imm2 (No. 44)
Asymmetric unit:
Ba (0.000, 0.000, 0.000) x2
Ba (0.000, 0.500, 0.195) x2
Zr (0.000, 0.000, 0.398) x2
Mo (0.000, 0.500, 0.748) x2

No. 16
First-principles (PBE) data for crystalline Bi3Te4 at its relaxed geometry, as listed in Alexandria.

Summary:
Calculated total energy, Ry per atom: -0.2655
Density of states at the Fermi level, states/eV per cell: 5.05
Crystal system: monoclinic

abc: 16.755 4.409 7.953
angles: 90.00 114.09 90.00
Space group C2/m (No. 12)
Asymmetric unit:
Bi (0.000, 0.000, 0.000) x2
Bi (0.240, 0.500, 0.722) x4
Te (0.126, 0.000, 0.456) x4
Te (0.130, 0.500, 0.978) x4

No. 17
First-principles (PBE) data for crystalline Be2Fe2Co5Ge at its relaxed geometry, as listed in Alexandria.

Summary:
Formation energy from the elements, kJ/mol of atoms: -7
Density of states at the Fermi level, states/eV per cell: 9.95
Crystal system: tetragonal

abc: 8.471 8.471 2.986
angles: 90.00 90.00 90.00
Space group P4/mbm (No. 127)
Asymmetric unit:
Be (0.123, 0.377, 0.000) x4
Fe (0.173, 0.673, 0.000) x4
Co (0.000, 0.500, 0.500) x2
Co (0.071, 0.208, 0.500) x8
Ge (0.000, 0.000, 0.000) x2

No. 18
First-principles (PBE) data for crystalline Ac2ZnGa3 at its relaxed geometry, as listed in Alexandria.

Summary:
Formation energy from the elements, kJ/mol of atoms: -53
Relative energy among the computed polymorphs, eV per atom: 0.000
Density of states at the Fermi level, states/eV per cell: 43.34
Crystal system: orthorhombic

abc: 8.868 9.252 15.319
angles: 90.00 90.00 90.00
Space group Fmmm (No. 69)
Asymmetric unit:
Ac (0.000, 0.248, 0.000) x8
Ac (0.250, 0.250, 0.250) x8
Zn (0.000, 0.000, 0.333) x8
Ga (0.000, 0.000, 0.167) x8
Ga (0.249, 0.000, 0.417) x16

No. 19
First-principles (PBE) data for crystalline HgSb at its relaxed geometry, as listed in Alexandria.

Summary:
Relative energy among the computed polymorphs, eV per atom: 0.037
Density of states at the Fermi level, states/eV per cell: 1.43
Crystal system: monoclinic

abc: 3.153 6.206 5.963
angles: 90.00 91.15 90.00
Space group P2_1/m (No. 11)
Asymmetric unit:
Hg (0.005, 0.250, 0.002) x2
Sb (0.002, 0.250, 0.501) x2

No. 20
First-principles (PBE) data for crystalline CaPOs2 at its relaxed geometry, as listed in Alexandria.

Summary:
Formation energy from the elements, kJ/mol of atoms: 59
Density of states at the Fermi level, states/eV per cell: 3.23
Crystal system: tetragonal

abc: 4.285 4.285 3.325
angles: 90.00 90.00 90.00
Space group P4/mmm (No. 123)
Asymmetric unit:
Ca (0.000, 0.000, 0.000) x1
P (0.500, 0.500, 0.000) x1
Os (0.000, 0.500, 0.500) x2